Record 1
The following is a PBE calculation of a relaxed CeNdGa crystal, from the Alexandria database.

Size of the total moment ... 1.3 μB per cell
DFT total energy ... -27.99 eV per cell
SG ... Immm, No. 71
ΔE to the lowest computed polymorph ... 301.5 meV per atom
ΔE_f ... -0.090 eV per atom

a = 5.614 Å, b = 3.231 Å, c = 9.606 Å
α = 99.68°, β = 106.99°, γ = 90.00°
Each line ends with the local moment (μB).
Sites, in units of the cell vectors:
Ce (0.257, 0.500, 0.000)  0.49
Ce (0.743, 0.500, 0.000)  0.49
Nd (0.323, 0.823, 0.647)  0.01
Nd (0.677, 0.177, 0.353)  0.01
Ga (0.849, 0.349, 0.698)  0.01
Ga (0.151, 0.651, 0.302)  0.01

Record 2
The following is a PBE calculation of a relaxed MnRhBr2 crystal, from the Alexandria database.

Size of the total moment ... 3.2 μB per cell
DFT total energy ... -18.63 eV per cell
SG ... R-3m, No. 166
Raw formation energy ... 0.309 eV per atom
ΔE to the lowest computed polymorph ... 451.3 meV per atom

a = 7.817 Å, b = 7.817 Å, c = 7.817 Å
α = 25.77°, β = 25.77°, γ = 25.77°
Each line ends with the local moment (μB).
Sites, in units of the cell vectors:
Br (0.995, 0.995, 0.995)  0.01
Br (0.505, 0.505, 0.505)  0.01
Mn (0.250, 0.250, 0.250)  3.97
Rh (0.750, 0.750, 0.750)  -0.99

Record 3
The following is a PBE calculation of a relaxed CaCd3In2 crystal, from the Alexandria database.

Size of the total moment ... 0.0 μB per cell
DFT total energy ... -22.80 eV per cell
SG ... C2/m, No. 12
ΔE to the lowest computed polymorph ... 0.0 meV per atom
ΔE_f ... -0.196 eV per atom

a = 4.729 Å, b = 9.803 Å, c = 7.638 Å
α = 116.63°, β = 90.00°, γ = 103.96°
Sites, in units of the cell vectors:
Ca (0.884, 0.767, 0.938)
Ca (0.116, 0.233, 0.062)
Cd (0.303, 0.605, 0.521)
Cd (0.929, 0.857, 0.534)
Cd (0.628, 0.256, 0.762)
Cd (0.372, 0.744, 0.238)
Cd (0.071, 0.143, 0.466)
Cd (0.697, 0.395, 0.479)
In (0.480, 0.961, 0.789)
In (0.520, 0.039, 0.211)
In (0.760, 0.520, 0.184)
In (0.240, 0.480, 0.816)

Record 4
The following is a PBE calculation of a relaxed Rb4RhW2 crystal, from the Alexandria database.

Size of the total moment ... 10.7 μB per cell
DFT total energy ... -21.93 eV per cell
SG ... I4/mmm, No. 139
ΔE_f ... 2.171 eV per atom

a = 5.934 Å, b = 5.934 Å, c = 10.527 Å
α = 73.63°, β = 73.63°, γ = 90.00°
Each line ends with the local moment (μB).
Sites, in units of the cell vectors:
Rh (0.000, 0.000, 0.000)  0.47
Rb (0.827, 0.827, 0.346)  0.01
Rb (0.173, 0.173, 0.654)  0.01
Rb (0.000, 0.500, 0.000)  0.03
Rb (0.500, 0.000, 0.000)  0.03
W (0.631, 0.631, 0.738)  3.45
W (0.369, 0.369, 0.262)  3.45